DFT (PBE) results for a relaxed Cu3Hg5 crystal.

* ΔE to the lowest computed polymorph: 0.0 kJ per mole of atoms
* formation energy from the elements: 1.66 eV per formula unit
* symmetry: No. 123
* magnetization: 0.00 μB per cell

Unit cell a=3.211 b=3.211 c=14.613 alpha=90.00 beta=90.00 gamma=90.00
Fractional positions:
1 Cu 0.000 0.000 0.000
2 Cu 0.500 0.500 0.388
3 Cu 0.500 0.500 0.612
4 Hg 0.000 0.000 0.273
5 Hg 0.000 0.000 0.500
6 Hg 0.000 0.000 0.727
7 Hg 0.500 0.500 0.114
8 Hg 0.500 0.500 0.886



DFT (PBE) results for a relaxed Cu2Hg crystal.

* formation energy from the elements: 1.73 eV per formula unit
* symmetry: No. 205
* magnetization: 0.00 μB per cell

Unit cell a=6.167 b=6.167 c=6.167 alpha=90.00 beta=90.00 gamma=90.00
Fractional positions:
1 Cu 0.113 0.113 0.113
2 Cu 0.113 0.387 0.613
3 Cu 0.387 0.613 0.113
4 Cu 0.387 0.887 0.613
5 Cu 0.613 0.113 0.387
6 Cu 0.613 0.387 0.887
7 Cu 0.887 0.613 0.387
8 Cu 0.887 0.887 0.887
9 Hg 0.000 0.000 0.500
10 Hg 0.000 0.500 0.000
11 Hg 0.500 0.000 0.000
12 Hg 0.500 0.500 0.500



DFT (PBE) results for a relaxed CuHg crystal.

* formation energy from the elements: 0.40 eV per formula unit
* symmetry: No. 194
* magnetization: 0.00 μB per cell

Unit cell a=4.253 b=4.253 c=4.978 alpha=90.00 beta=90.00 gamma=120.00
Fractional positions:
1 Cu 0.000 0.000 0.000
2 Cu 0.000 0.000 0.500
3 Hg 0.333 0.667 0.250
4 Hg 0.667 0.333 0.750



DFT (PBE) results for a relaxed Cu2Hg crystal.

* formation energy from the elements: 0.77 eV per formula unit
* symmetry: No. 160
* magnetization: 0.00 μB per cell

Unit cell a=6.514 b=6.514 c=6.514 alpha=26.34 beta=26.34 gamma=26.34
Fractional positions:
1 Cu 0.000 0.000 0.000
2 Cu 0.237 0.237 0.237
3 Hg 0.785 0.785 0.785



DFT (PBE) results for a relaxed CuHg3 crystal.

* ΔE to the lowest computed polymorph: 14.9 kJ per mole of atoms
* formation energy from the elements: 1.09 eV per formula unit
* symmetry: No. 223
* magnetization: 0.00 μB per cell

Unit cell a=5.576 b=5.576 c=5.576 alpha=90.00 beta=90.00 gamma=90.00
Fractional positions:
1 Cu 0.000 0.000 0.000
2 Cu 0.500 0.500 0.500
3 Hg 0.000 0.250 0.500
4 Hg 0.000 0.750 0.500
5 Hg 0.250 0.500 0.000
6 Hg 0.500 0.000 0.250
7 Hg 0.500 0.000 0.750
8 Hg 0.750 0.500 0.000



DFT (PBE) results for a relaxed CuHg3 crystal.

* ΔE to the lowest computed polymorph: 8.3 kJ per mole of atoms
* formation energy from the elements: 0.82 eV per formula unit
* symmetry: No. 194
* magnetization: 0.00 μB per cell

Unit cell a=7.590 b=7.590 c=3.811 alpha=90.00 beta=90.00 gamma=120.00
Fractional positions:
1 Cu 0.333 0.667 0.250
2 Cu 0.667 0.333 0.750
3 Hg 0.185 0.369 0.750
4 Hg 0.185 0.815 0.750
5 Hg 0.369 0.185 0.250
6 Hg 0.631 0.815 0.750
7 Hg 0.815 0.185 0.250
8 Hg 0.815 0.631 0.250